Here is a relaxed Ce2ScGa4Pt3 crystal from the Alexandria database. Energies are from PBE-GGA.

total moment: 0.8 μB per cell
uncorrected energy: -0.2104 Ha/atom

Unit cell a=4.160 b=4.160 c=11.518 alpha=90.00 beta=90.00 gamma=90.00
Each line ends with the local moment (μB).
Element x y z (fractional)
Ce  0.500  0.000  0.234  0.40
Ce  0.000  0.500  0.766  0.40
Sc  0.500  0.500  0.500  0.00
Ga  0.500  0.500  0.000  -0.01
Ga  0.000  0.000  0.000  0.00
Ga  0.500  0.000  0.652  0.00
Ga  0.000  0.500  0.348  0.00
Pt  0.000  0.000  0.500  0.00
Pt  0.500  0.000  0.868  -0.01
Pt  0.000  0.500  0.132  -0.01